*i*
Entry from Alexandria: a geometry-optimized YTcSn2 structure (PBE).

a = 4.251 Å, b = 4.251 Å, c = 10.918 Å
α = 78.77°, β = 78.77°, γ = 90.00°
Element x y z (fractional)
Y 0.500 0.500 0.000
Y 0.250 0.750 0.500
Sn 0.638 0.125 0.250
Sn 0.112 0.625 0.250
Sn 0.375 0.362 0.750
Sn 0.875 0.888 0.750
Tc 0.000 0.000 0.000
Tc 0.750 0.250 0.500

Summary:
* crystal system: tetragonal
* total magnetic moment: 0.0 μB/f.u.
* volume: 23.71 Å³/atom
* space-group type: I-42d (122)

=====

*ii*
Entry from Alexandria: a geometry-optimized YTcSn2 structure (PBE).

a = 4.924 Å, b = 4.924 Å, c = 4.924 Å
α = 60.00°, β = 60.00°, γ = 60.00°
Element x y z (fractional)
Y 0.000 0.000 0.000
Sn 0.250 0.250 0.250
Sn 0.750 0.750 0.750
Tc 0.500 0.500 0.500

Summary:
* crystal system: cubic
* total magnetic moment: 0.0 μB/f.u.
* volume: 21.11 Å³/atom
* space-group type: Fm-3m (225)

=====

*iii*
Entry from Alexandria: a geometry-optimized YTcSn2 structure (PBE).

a = 4.567 Å, b = 4.567 Å, c = 5.636 Å
α = 66.10°, β = 66.10°, γ = 60.00°
Element x y z (fractional)
Y 0.000 0.000 0.000
Sn 0.773 0.773 0.681
Sn 0.227 0.227 0.319
Tc 0.500 0.500 0.500

Summary:
* crystal system: trigonal
* total magnetic moment: 0.0 μB/f.u.
* volume: 22.49 Å³/atom
* space-group type: R-3m (166)

=====

Order from most stable to least stable according to the calculation: *iii*, *ii*, *i*

=====

*i*
Entry from Alexandria: a geometry-optimized YTc3Sn structure (PBE).

a = 4.893 Å, b = 4.893 Å, c = 4.893 Å
α = 90.00°, β = 90.00°, γ = 90.00°
Element x y z (fractional)
Y 0.500 0.500 0.500
Sn 0.000 0.000 0.000
Tc 0.000 0.500 0.000
Tc 0.000 0.000 0.500
Tc 0.500 0.000 0.000

Summary:
* crystal system: cubic
* total magnetic moment: 3.3 μB/f.u.
* volume: 23.43 Å³/atom
* space-group type: Pm-3m (221)

=====

*ii*
Entry from Alexandria: a geometry-optimized YTc3Sn structure (PBE).

a = 4.893 Å, b = 4.893 Å, c = 4.893 Å
α = 90.00°, β = 90.00°, γ = 90.00°
Element x y z (fractional)
Y 0.000 0.000 0.000
Sn 0.500 0.500 0.500
Tc 0.000 0.500 0.000
Tc 0.000 0.000 0.500
Tc 0.500 0.000 0.000

Summary:
* crystal system: cubic
* total magnetic moment: 4.5 μB/f.u.
* volume: 23.43 Å³/atom
* space-group type: Pm-3m (221)

=====

Order from most stable to least stable according to the calculation: *i*, *ii*